The following is a PBE calculation of crystalline Cr2CdSi at its relaxed geometry, from Alexandria.

Computed properties:
SG ... Cmmm, No. 65

Lattice parameters (Å, degrees): 2.6723 2.6723 8.1626 90.00 90.00 104.80
With the nearest neighbours (Å) after each atom.
Sites, in units of the cell vectors:
Si 0.5000 0.5000 0.2500  4 Cr 2.40, 4 Si 2.67
Cd 0.5000 0.5000 0.7500  4 Cd 2.67, 4 Cr 2.84
Cr 0.0000 0.0000 0.4650  2 Si 2.40, 4 Cr 2.67
Cr 0.0000 0.0000 0.0350  2 Si 2.40, 4 Cr 2.67

---

The following is a PBE calculation of crystalline CrCdSi2 at its relaxed geometry, from Alexandria.

Computed properties:
SG ... P4/mmm, No. 123

Lattice parameters (Å, degrees): 3.8209 4.1176 4.1176 90.00 90.00 90.00
With the nearest neighbours (Å) after each atom.
Sites, in units of the cell vectors:
Cr 0.5000 0.0000 0.5000  8 Si 2.81, 4 Cd 2.91
Si 0.0000 0.0000 0.0000  4 Cd 2.81, 4 Cr 2.81, 4 Si 2.91
Si 0.0000 0.5000 0.5000  4 Cr 2.81, 4 Cd 2.81, 4 Si 2.91
Cd 0.5000 0.5000 0.0000  8 Si 2.81, 4 Cr 2.91

---

The following is a PBE calculation of crystalline CrCd2Si at its relaxed geometry, from Alexandria.

Computed properties:
SG ... R-3m, No. 166

Lattice parameters (Å, degrees): 10.2647 10.2647 10.2647 16.59 16.59 16.59
With the nearest neighbours (Å) after each atom.
Sites, in units of the cell vectors:
Cr 0.2500 0.2500 0.2500  6 Cd 2.94, 6 Cr 2.96
Cd 0.5047 0.5047 0.5047  3 Cr 2.94, 6 Cd 2.96, 3 Si 3.17
Cd 0.9953 0.9953 0.9953  3 Cr 2.94, 6 Cd 2.96, 3 Si 3.17
Si 0.7500 0.7500 0.7500  6 Si 2.96, 6 Cd 3.17

---

The following is a PBE calculation of crystalline CrCd3Si at its relaxed geometry, from Alexandria.

Computed properties:
SG ... Pm-3m, No. 221
E above lowest polymorph ... 0.000 eV per atom

Lattice parameters (Å, degrees): 5.0997 5.0997 5.0997 90.00 90.00 90.00
With the nearest neighbours (Å) after each atom.
Sites, in units of the cell vectors:
Cd 0.0000 0.0000 0.5000  2 Si 2.55
Cd 0.0000 0.5000 0.0000  2 Si 2.55
Cd 0.5000 0.0000 0.0000  2 Si 2.55
Si 0.0000 0.0000 0.0000  6 Cd 2.55
Cr 0.5000 0.5000 0.5000  12 Cd 3.61

---

The following is a PBE calculation of crystalline CrCdSi2 at its relaxed geometry, from Alexandria.

Computed properties:
SG ... I4/mmm, No. 139

Lattice parameters (Å, degrees): 4.8252 4.8252 4.8252 131.87 131.87 70.43
With the nearest neighbours (Å) after each atom.
Sites, in units of the cell vectors:
Cd 0.2500 0.7500 0.5000  4 Cr 2.78, 8 Si 2.78
Cr 0.7500 0.2500 0.5000  4 Cd 2.78, 8 Si 2.78
Si 0.5000 0.5000 0.0000  4 Si 2.78, 4 Cr 2.78, 4 Cd 2.78
Si 0.0000 0.0000 0.0000  4 Si 2.78, 4 Cd 2.78, 4 Cr 2.78

---

The following is a PBE calculation of crystalline CrCd2Si at its relaxed geometry, from Alexandria.

Computed properties:
SG ... Cm, No. 8

Lattice parameters (Å, degrees): 4.5521 4.5521 8.3649 61.20 61.20 37.11
With the nearest neighbours (Å) after each atom.
Sites, in units of the cell vectors:
Cr 0.5218 0.5218 0.6246  3 Si 2.37-2.42
Cd 0.9315 0.9315 0.9454  2 Cr 2.79, 4 Cd 2.90-2.97
Cd 0.2503 0.2503 0.3046  2 Cr 2.79, 4 Cd 2.90-2.97
Si 0.7965 0.7965 0.6253  3 Cr 2.37-2.42

---

Computed energy relative to the elements, uncorrected, in the same sequence as the records: 0.309 0.422 0.540 0.793 0.402 0.334 eV/atom.
Computed magnetization, in the same sequence as the records: 1.6 3.1 3.7 4.8 2.0 2.6 μB per cell.